[1]
Ac2Dy4Y | GGA-PBE | relaxed

Summary:
* VASP energy: -4.548 eV/atom
* crystal system: orthorhombic

CIF file:
```
data_Ac2Dy4Y
_chemical_formula_sum 'Ac8 Dy16 Y4'
_cell_length_a 6.8123
_cell_length_b 12.1528
_cell_length_c 12.1549
_cell_angle_alpha 90.00
_cell_angle_beta 90.00
_cell_angle_gamma 90.00
_symmetry_space_group_name_H-M 'C m c m'
_symmetry_Int_Tables_number 63
_symmetry_space_group_name_Hall '-C 2c 2'
loop_
_atom_site_label
_atom_site_fract_x
_atom_site_fract_y
_atom_site_fract_z
Ac1 0.0000 0.0005 0.2500
Ac2 0.0000 0.3168 0.2500
Dy1 0.0000 0.2259 0.5303
Dy2 0.2228 0.5000 0.0000
Y1 0.0000 0.3867 0.7500
```

=====

[2]
AcDy12Y2 | GGA-PBE | relaxed

Summary:
* VASP energy: -4.708 eV/atom
* crystal system: monoclinic

CIF file:
```
data_AcDy12Y2
_chemical_formula_sum 'Ac4 Dy48 Y8'
_cell_length_a 7.2017
_cell_length_b 11.2127
_cell_length_c 24.4700
_cell_angle_alpha 90.00
_cell_angle_beta 94.26
_cell_angle_gamma 90.00
_symmetry_space_group_name_H-M 'C 1 2/m 1'
_symmetry_Int_Tables_number 12
_symmetry_space_group_name_Hall '-C 2y'
loop_
_atom_site_label
_atom_site_fract_x
_atom_site_fract_y
_atom_site_fract_z
Ac1 0.2499 0.0000 0.9999
Dy1 0.0187 0.2501 0.0786
Dy2 0.1123 0.2491 0.4453
Dy3 0.1416 0.5000 0.5738
Dy4 0.1431 0.0000 0.5730
Dy5 0.1669 0.2497 0.6680
Dy6 0.1999 0.2502 0.7955
Dy7 0.2148 0.0000 0.8571
Dy8 0.2151 0.5000 0.8574
Y1 0.0679 0.5000 0.2749
Y2 0.0687 0.0000 0.2751
```